Record 1
SrNi4Br | PBE | relaxed

Lattice parameters (Å, degrees): 7.327 7.327 7.327 90.00 90.00 90.00
Space group F-43m (No. 216)
One atom of each set of equivalent atoms:
Sr1 0.000 0.000 0.000
Ni1 0.126 0.126 0.374
Br1 0.250 0.250 0.750

Properties
**Magnetization**: 0.49 μB/atom
**Formation energy from raw total energies**: 198.7 meV per atom

Record 2
Li2CrW | PBE | relaxed

Lattice parameters (Å, degrees): 2.473 4.165 5.748 90.00 90.00 90.00
Space group Pmm2 (No. 25)
One atom of each set of equivalent atoms:
Li1 0.000 0.000 0.000
Li2 0.500 0.500 0.229
Cr1 0.500 0.500 0.714
W1 0.000 0.000 0.518

Properties
**Energy relative to the lowest polymorph listed for this composition**: 182 meV/atom
**ΔH_f (0 K)**: 510 meV/atom
**Magnetization**: 0.16 μB/atom

Record 3
Y4Mn | PBE | relaxed

Lattice parameters (Å, degrees): 4.225 4.225 17.623 90.00 90.00 90.00
Space group I4/mmm (No. 139)
One atom of each set of equivalent atoms:
Y1 0.000 0.000 0.087
Y2 0.000 0.500 0.250
Mn1 0.000 0.000 0.500

Properties
**Energy relative to the lowest polymorph listed for this composition**: 419 meV/atom
**ΔH_f (0 K)**: 646 meV/atom
**Magnetization**: 0.66 μB/atom

Record 4
KWCl | PBE | relaxed

Lattice parameters (Å, degrees): 5.0968 5.0968 3.6561 90.00 90.00 120.00
Space group P-6m2 (No. 187)
One atom of each set of equivalent atoms:
K1 0.0000 0.0000 0.0000
W1 0.6667 0.3333 0.5000
Cl1 0.3333 0.6667 0.5000

Properties
**Energy relative to the lowest polymorph listed for this composition**: 593 meV/atom
**Magnetization**: 1.58 μB/atom
**Formation energy from raw total energies**: 1259.1 meV per atom

Record 5
CaTcNi | PBE | relaxed

Lattice parameters (Å, degrees): 6.336 6.336 6.336 90.00 90.00 90.00
Space group F-43m (No. 216)
One atom of each set of equivalent atoms:
Ca1 0.000 0.000 0.000
Tc1 0.250 0.250 0.750
Ni1 0.250 0.250 0.250

Properties
**Energy relative to the lowest polymorph listed for this composition**: 1213 meV/atom
**ΔH_f (0 K)**: 1516 meV/atom
**Magnetization**: 1.05 μB/atom

Record 6
NaV3Re | PBE | relaxed

Lattice parameters (Å, degrees): 4.778 4.778 4.778 90.00 90.00 90.00
Space group Pm-3m (No. 221)
One atom of each set of equivalent atoms:
Na1 0.000 0.000 0.000
V1 0.000 0.500 0.500
Re1 0.500 0.500 0.500

Properties
**Energy relative to the lowest polymorph listed for this composition**: 0 meV/atom
**ΔH_f (0 K)**: 1137 meV/atom
**Magnetization**: 1.12 μB/atom

- Which value of magnetization does entry 3 give?
  0.66 μB/atom

Repeat the first record exactly.
SrNi4Br | PBE | relaxed

Lattice parameters (Å, degrees): 7.327 7.327 7.327 90.00 90.00 90.00
Space group F-43m (No. 216)
One atom of each set of equivalent atoms:
Sr1 0.000 0.000 0.000
Ni1 0.126 0.126 0.374
Br1 0.250 0.250 0.750

Properties
**Magnetization**: 0.49 μB/atom
**Formation energy from raw total energies**: 198.7 meV per atom